# 1
Below is a relaxed PuAgSbO crystal, with properties calculated at the PBE level.

Output
As for the raw total energy: -63.6 eV per cell. The calculation puts the formation energy without anion corrections at -1.3843 eV per atom. As for the space-group type: No. 129. The mass density is 9.9 g/cm³. For the magnetic moment, the calculation gives 4.65 μB/f.u. The calculation puts the density of states at the Fermi level at 9.73 states/eV per cell.

a = 4.0241 Å, b = 4.0241 Å, c = 10.1144 Å
α = 90.00°, β = 90.00°, γ = 90.00°
Each line ends with the local moment (μB).
Sites, in units of the cell vectors:
1 Ag 0.0000 0.0000 0.5000  -0.03
2 O 0.5000 0.5000 0.0000  -0.14
3 Pu 0.0000 0.5000 0.8859  4.91
4 O 0.0000 0.0000 0.0000  -0.14
5 Sb 0.5000 0.0000 0.7051  -0.10
6 Sb 0.0000 0.5000 0.2949  -0.10
7 Pu 0.5000 0.0000 0.1141  4.91
8 Ag 0.5000 0.5000 0.5000  -0.03

***

# 2
Below is a relaxed Pm2Ho2Sb2C crystal, with properties calculated at the PBE level.

Output
As for the raw total energy: -42.0 eV per cell. The calculation puts the formation energy without anion corrections at -0.8380 eV per atom. As for the space-group type: No. 139. The mass density is 7.9 g/cm³. For the magnetic moment, the calculation gives 0.00 μB/f.u. The calculation puts the density of states at the Fermi level at 6.60 states/eV per cell.

a = 4.7666 Å, b = 4.7666 Å, c = 8.7869 Å
α = 105.74°, β = 105.74°, γ = 90.00°
Sites, in units of the cell vectors:
1 C 0.0000 0.0000 0.0000
2 Sb 0.6376 0.6376 0.2753
3 Ho 0.5000 0.0000 0.0000
4 Pm 0.8378 0.8378 0.6756
5 Sb 0.3624 0.3624 0.7247
6 Pm 0.1622 0.1622 0.3244
7 Ho 0.0000 0.5000 0.0000

***

# 3
Below is a relaxed Hf2MnVCu crystal, with properties calculated at the PBE level.

Output
As for the raw total energy: -37.8 eV per cell. As for the space-group type: No. 123. The mass density is 8.9 g/cm³. As for the energy relative to the elements: 0.8914 eV/atom. For the magnetic moment, the calculation gives 1.68 μB/f.u. The calculation puts the density of states at the Fermi level at 5.75 states/eV per cell.

a = 4.9107 Å, b = 4.0546 Å, c = 4.9107 Å
α = 90.00°, β = 90.00°, γ = 90.00°
Each line ends with the local moment (μB).
Sites, in units of the cell vectors:
1 Mn 0.0000 0.5000 0.0000  1.83
2 V 0.0000 0.0000 0.0000  -0.23
3 Hf 0.0000 0.0000 0.5000  -0.01
4 Hf 0.5000 0.0000 0.0000  -0.03
5 Cu 0.5000 0.5000 0.5000  0.03

***

# 4
Below is a relaxed TlCoSe2 crystal, with properties calculated at the PBE level.

Output
As for the raw total energy: -15.9 eV per cell. The calculation puts the formation energy without anion corrections at 0.1407 eV per atom. As for the space-group type: No. 99. The mass density is 7.9 g/cm³. For the magnetic moment, the calculation gives 0.58 μB/f.u. The calculation puts the density of states at the Fermi level at 2.50 states/eV per cell.

a = 3.0457 Å, b = 3.0457 Å, c = 9.5468 Å
α = 90.00°, β = 90.00°, γ = 90.01°
Each line ends with the local moment (μB).
Sites, in units of the cell vectors:
1 Co 0.5000 0.5000 0.8010  0.59
2 Se 0.0000 0.0000 0.9063  -0.02
3 Tl 0.0000 0.0000 0.5329  0.00
4 Se 0.5000 0.5000 0.2599  0.01

***

# 5
Below is a relaxed Ag2HgIr crystal, with properties calculated at the PBE level.

Output
As for the raw total energy: -13.5 eV per cell. As for the space-group type: No. 123. The mass density is 14.4 g/cm³. As for the energy relative to the elements: 0.3352 eV/atom. For the magnetic moment, the calculation gives 0.00 μB/f.u. The calculation puts the density of states at the Fermi level at 2.40 states/eV per cell.

a = 4.3162 Å, b = 4.0365 Å, c = 4.0365 Å
α = 90.00°, β = 90.00°, γ = 90.00°
Sites, in units of the cell vectors:
1 Hg 0.5000 0.5000 0.0000
2 Ag 0.0000 0.0000 0.0000
3 Ag 0.0000 0.5000 0.5000
4 Ir 0.5000 0.0000 0.5000

***

# 6
Below is a relaxed CaLuAl crystal, with properties calculated at the PBE level.

Output
As for the raw total energy: -10.7 eV per cell. As for the energy above the most stable polymorph in this dataset: 0.000 eV/atom. As for the space-group type: No. 107. The mass density is 4.9 g/cm³. As for the energy relative to the elements: -0.1490 eV/atom. For the magnetic moment, the calculation gives 0.00 μB/f.u. The calculation puts the density of states at the Fermi level at 2.22 states/eV per cell.

a = 3.5429 Å, b = 3.5429 Å, c = 7.0553 Å
α = 104.54°, β = 104.54°, γ = 90.00°
Sites, in units of the cell vectors:
1 Al 0.6754 0.6754 0.3509
2 Ca 0.0203 0.0203 0.0406
3 Lu 0.3043 0.3043 0.6085